Entry 1:
## Ti2AgMo (PBEsol)

Data for a relaxed structure of Ti2AgMo.

Output
**Electronic total energy**: -7.950 eV per atom
**N(E_F)**: 0.740 states/eV per atom
**ρ**: 7.940 g cm⁻³
**Formation enthalpy at 0 K**: -20 meV per atom
**Total magnetization**: 0.0 μB per cell
**Space group**: Fm-3m

abc: 4.458 4.458 4.458
angles: 60.00 60.00 60.00
Fractional coordinates of all 4 atoms:
Mo1 0.000 0.000 0.000
Ag1 0.500 0.500 0.500
Ti1 0.250 0.250 0.250
Ti2 0.750 0.750 0.750

Entry 2:
## TlAg2Mo (PBEsol)

Data for a relaxed structure of TlAg2Mo.

Output
**Electronic total energy**: -4.620 eV per atom
**N(E_F)**: 0.464 states/eV per atom
**ρ**: 11.981 g cm⁻³
**Formation enthalpy at 0 K**: 635 meV per atom
**Total magnetization**: 2.1 μB per cell
**Space group**: I-4m2

abc: 4.644 4.667 4.644
angles: 119.83 90.00 119.83
Last column: magnetic moment on the atom in μB.
Fractional coordinates of all 4 atoms:
Ag1 0.000 0.000 0.000  -0.01
Ag2 0.750 0.500 0.250  0.05
Mo1 0.500 0.000 0.500  1.94
Tl1 0.250 0.500 0.750  0.00

Entry 3:
## TlAg2Mo (PBEsol)

Data for a relaxed structure of TlAg2Mo.

Output
**Electronic total energy**: -4.788 eV per atom
**N(E_F)**: 0.715 states/eV per atom
**ρ**: 11.808 g cm⁻³
**Formation enthalpy at 0 K**: 467 meV per atom
**Total magnetization**: 0.0 μB per cell
**Space group**: P4/mmm

abc: 2.818 2.818 9.140
angles: 90.00 90.00 89.91
Fractional coordinates of all 4 atoms:
Ag1 0.000 0.000 0.273
Ag2 0.000 0.000 0.727
Mo1 0.500 0.500 0.500
Tl1 0.500 0.500 0.000

Entry 4:
## TlAg2Mo (PBEsol)

Data for a relaxed structure of TlAg2Mo.

Output
**Electronic total energy**: -4.629 eV per atom
**N(E_F)**: 0.677 states/eV per atom
**ρ**: 12.018 g cm⁻³
**Formation enthalpy at 0 K**: 626 meV per atom
**Total magnetization**: 0.7 μB per cell
**Space group**: Imm2

abc: 2.926 4.994 5.674
angles: 116.11 104.94 90.00
Last column: magnetic moment on the atom in μB.
Fractional coordinates of all 4 atoms:
Ag1 0.003 0.003 0.007  0.02
Ag2 0.747 0.247 0.494  0.01
Mo1 0.497 0.497 0.995  0.60
Tl1 0.253 0.753 0.505  -0.01

Entry 5:
## TlAg2Mo (PBEsol)

Data for a relaxed structure of TlAg2Mo.

Output
**Electronic total energy**: -4.780 eV per atom
**N(E_F)**: 0.720 states/eV per atom
**ρ**: 11.987 g cm⁻³
**Formation enthalpy at 0 K**: 475 meV per atom
**Total magnetization**: 0.0 μB per cell
**Space group**: R3m

abc: 2.932 2.932 9.748
angles: 81.35 81.35 60.00
Fractional coordinates of all 4 atoms:
Ag1 0.004 0.004 0.987
Ag2 0.751 0.751 0.748
Mo1 0.496 0.496 0.511
Tl1 0.249 0.249 0.254

Entry 6:
## AgMoW2 (PBEsol)

Data for a relaxed structure of AgMoW2.

Output
**Electronic total energy**: -10.135 eV per atom
**N(E_F)**: 0.724 states/eV per atom
**ρ**: 15.150 g cm⁻³
**Formation enthalpy at 0 K**: 539 meV per atom
**Total magnetization**: 0.0 μB per cell
**Space group**: I-4m2

abc: 4.086 4.086 4.735
angles: 115.56 115.56 90.00
Fractional coordinates of all 4 atoms:
Ag1 0.500 0.500 0.000
Mo1 0.250 0.750 0.500
W1 0.000 0.000 0.000
W2 0.750 0.250 0.500

Entry 7:
## AgMoW2 (PBEsol)

Data for a relaxed structure of AgMoW2.

Output
**Electronic total energy**: -10.391 eV per atom
**N(E_F)**: 0.686 states/eV per atom
**ρ**: 15.026 g cm⁻³
**Formation enthalpy at 0 K**: 283 meV per atom
**Total magnetization**: 0.0 μB per cell
**Space group**: Cmm2

abc: 2.703 2.703 9.095
angles: 90.00 90.00 108.16
Fractional coordinates of all 4 atoms:
Ag1 0.000 0.000 0.500
Mo1 0.500 0.500 0.241
W1 0.000 0.000 0.001
W2 0.500 0.500 0.759

Entry 8:
## AgMoW2 (PBEsol)

Data for a relaxed structure of AgMoW2.

Output
**Electronic total energy**: -10.182 eV per atom
**N(E_F)**: 0.706 states/eV per atom
**ρ**: 15.034 g cm⁻³
**Formation enthalpy at 0 K**: 492 meV per atom
**Total magnetization**: 0.0 μB per cell
**Space group**: Immm

abc: 3.302 4.403 5.140
angles: 115.36 108.74 90.00
Fractional coordinates of all 4 atoms:
Ag1 0.500 0.000 0.000
Mo1 0.000 0.500 0.000
W1 0.735 0.735 0.470
W2 0.265 0.265 0.530

Entry 9:
## AgMoW2 (PBEsol)

Data for a relaxed structure of AgMoW2.

Output
**Electronic total energy**: -10.244 eV per atom
**N(E_F)**: 0.661 states/eV per atom
**ρ**: 15.061 g cm⁻³
**Formation enthalpy at 0 K**: 429 meV per atom
**Total magnetization**: 0.0 μB per cell
**Space group**: P2/m

abc: 2.662 4.548 5.265
angles: 90.00 98.71 90.00
Fractional coordinates of all 4 atoms:
Ag1 0.500 0.500 0.000
Mo1 0.000 0.500 0.500
W1 0.754 0.000 0.743
W2 0.246 0.000 0.257

Entry 10:
## Y2AgMo (PBEsol)

Data for a relaxed structure of Y2AgMo.

Output
**Electronic total energy**: -7.088 eV per atom
**N(E_F)**: 1.095 states/eV per atom
**ρ**: 7.287 g cm⁻³
**Formation enthalpy at 0 K**: 93 meV per atom
**Total magnetization**: 0.0 μB per cell
**Space group**: P4/mmm

abc: 3.463 3.463 7.254
angles: 90.00 90.00 90.00
Fractional coordinates of all 4 atoms:
Ag1 0.500 0.500 0.000
Mo1 0.500 0.500 0.500
Y1 0.000 0.000 0.735
Y2 0.000 0.000 0.265

Entry 11:
## Y2AgMo (PBEsol)

Data for a relaxed structure of Y2AgMo.

Output
**Electronic total energy**: -6.730 eV per atom
**N(E_F)**: 1.320 states/eV per atom
**ρ**: 7.666 g cm⁻³
**Formation enthalpy at 0 K**: 451 meV per atom
**Total magnetization**: 0.0 μB per cell
**Space group**: F-43m

abc: 4.890 4.890 4.890
angles: 60.00 60.00 60.00
Fractional coordinates of all 4 atoms:
Ag1 0.500 0.500 0.500
Mo1 0.250 0.250 0.250
Y1 0.000 0.000 0.000
Y2 0.750 0.750 0.750

Entry 12:
## ZnAgMo (PBEsol)

Data for a relaxed structure of ZnAgMo.

Output
**Electronic total energy**: -4.626 eV per atom
**N(E_F)**: 0.970 states/eV per atom
**ρ**: 8.752 g cm⁻³
**Formation enthalpy at 0 K**: 927 meV per atom
**Total magnetization**: 1.0 μB per cell
**Space group**: F-43m

abc: 4.165 4.165 4.165
angles: 60.00 60.00 60.00
Last column: magnetic moment on the atom in μB.
Fractional coordinates of all 3 atoms:
Ag1 0.000 0.000 0.000  0.00
Mo1 0.500 0.500 0.500  0.94
Zn1 0.250 0.250 0.250  0.03